Material: CoNiSbPd
Method: DFT, GGA-PBE
State: optimized geometry

POSCAR file:
```
CoNiSbPd
1.0
4.320 0.000 0.000
2.160 3.741 0.000
2.160 1.247 3.527
Sb Co Pd Ni
1 1 1 1
Cartesian
0.000 0.000 0.000
6.480 3.741 2.645
4.320 2.494 1.764
2.160 1.247 0.882
```

Output
**Raw formation energy**: -0.067 eV/atom
**Crystal system**: cubic
**Symmetry**: F-43m

Material: Sc4CoNi2Pd
Method: DFT, GGA-PBE
State: optimized geometry

POSCAR file:
```
Sc4CoNi2Pd
1.0
-0.344 -3.231 3.159
-1.892 -3.986 -1.032
5.847 -5.027 -1.254
Sc Co Ni Pd
4 1 2 1
Cartesian
4.195 -7.072 -0.275
0.306 -8.228 1.369
3.304 -4.016 -0.497
-0.585 -5.171 1.148
1.805 -6.122 0.436
2.701 -9.180 0.657
0.910 -3.064 0.216
0.000 0.000 0.000
```

Output
**Crystal system**: trigonal
**Energy relative to the elements**: -0.56 eV/atom
**Symmetry**: R-3m

Material: ScCoNiPd2
Method: DFT, GGA-PBE
State: optimized geometry

POSCAR file:
```
ScCoNiPd2
1.0
-4.449 0.837 0.849
0.652 -0.719 4.128
0.958 4.462 0.625
Sc Ni Co Pd
1 1 1 2
Cartesian
-1.420 2.290 2.801
0.326 -0.359 2.064
0.000 0.000 0.000
0.479 2.231 0.313
-2.225 0.418 0.424
```

Output
**Crystal system**: tetragonal
**Energy relative to the elements**: 0.31 eV/atom
**Symmetry**: P4/mmm

Material: CoNiPd2Se8
Method: DFT, GGA-PBE
State: optimized geometry

POSCAR file:
```
CoNiPd2Se8
1.0
-1.445 -5.505 4.133
5.896 2.910 2.498
-5.295 4.629 0.049
Co Ni Pd Se
1 1 2 8
Cartesian
1.413 3.121 2.931
0.000 0.000 0.000
-2.257 -1.087 3.749
2.226 -1.297 3.315
-2.138 -0.316 1.440
1.295 0.672 2.228
-4.218 2.573 1.355
-4.495 -0.623 2.902
2.046 -2.062 5.620
-1.303 -3.023 4.881
-1.093 -0.386 5.772
-0.811 2.884 4.156
```

Output
**Raw formation energy**: 0.214 eV/atom
**Crystal system**: tetragonal
**Symmetry**: I-4m2

Material: CoNiPd2Se6
Method: DFT, GGA-PBE
State: optimized geometry

POSCAR file:
```
CoNiPd2Se6
1.0
6.133 0.073 0.075
2.076 8.313 -0.506
2.076 -0.814 8.288
Co Ni Pd Se
2 2 4 12
Cartesian
3.609 7.633 0.186
6.675 -0.061 7.672
3.609 0.965 6.611
6.675 6.607 1.247
5.878 6.154 4.205
7.472 3.634 1.590
4.406 1.418 3.653
2.812 3.938 6.268
4.631 7.197 6.400
2.587 1.407 0.391
5.653 0.375 1.458
7.698 6.165 7.467
4.958 7.691 2.418
2.260 5.404 0.045
5.326 -0.119 5.440
8.024 2.168 7.813
3.595 5.158 4.211
3.623 3.518 2.509
6.690 2.414 3.647
6.661 4.053 5.348
```

Output
**Raw formation energy**: -0.112 eV/atom
**Crystal system**: monoclinic
**Symmetry**: C2/c

Material: CoNi2PdSe6
Method: DFT, GGA-PBE
State: optimized geometry

POSCAR file:
```
CoNi2PdSe6
1.0
-0.353 5.853 2.330
-7.685 0.316 2.012
1.719 -1.359 7.643
Co Ni Pd Se
2 4 2 12
Cartesian
-6.941 1.631 3.093
0.622 3.179 8.891
-4.924 0.474 6.508
-2.818 1.695 3.354
-1.395 4.336 5.476
-3.500 3.115 8.630
-0.726 0.524 6.814
-5.593 4.286 5.170
-6.068 -0.057 8.471
-1.493 2.193 1.499
-0.251 4.867 3.513
-4.826 2.617 10.485
-6.411 1.791 5.378
-4.781 0.991 2.418
0.092 3.019 6.606
-1.538 3.819 9.566
-5.083 4.406 7.641
-3.271 3.662 4.394
-1.236 0.404 4.343
-3.048 1.148 7.589
```

Output
**Raw formation energy**: -0.237 eV/atom
**Crystal system**: monoclinic
**Symmetry**: C2/c

Material: Co2NiPdSe6
Method: DFT, GGA-PBE
State: optimized geometry

POSCAR file:
```
Co2NiPdSe6
1.0
6.384 -0.075 -0.078
1.952 7.584 -0.633
1.952 -0.914 7.555
Co Ni Pd Se
4 2 2 12
Cartesian
4.138 4.903 3.569
2.959 3.247 1.851
6.151 1.691 3.274
7.330 3.348 4.993
3.548 6.858 0.029
6.741 -0.263 6.815
3.548 1.037 5.638
6.741 5.558 1.206
4.350 6.353 5.409
2.747 1.462 0.334
5.939 0.242 1.434
7.542 5.132 6.510
4.670 6.644 2.130
2.426 4.750 0.164
5.619 -0.050 4.714
7.863 1.845 6.679
8.231 4.714 3.272
5.251 3.462 1.972
2.058 1.880 3.572
5.038 3.132 4.872
```

Output
**Raw formation energy**: -0.226 eV/atom
**Crystal system**: monoclinic
**Symmetry**: C2/c

Material: CoSiNi2Pd
Method: DFT, GGA-PBE
State: optimized geometry

POSCAR file:
```
CoSiNi2Pd
1.0
-4.144 -1.809 0.484
1.206 -3.459 -2.601
1.420 -2.269 3.676
Ni Si Co Pd
2 1 1 1
Cartesian
0.710 -1.135 1.838
-2.072 -0.904 0.242
-0.759 -3.768 0.780
0.603 -1.729 -1.300
0.000 0.000 0.000
```

Output
**Raw formation energy**: 1.405 eV/atom
**Crystal system**: tetragonal
**Symmetry**: P4/mmm

Material: TaCoNiPd
Method: DFT, GGA-PBE
State: optimized geometry

POSCAR file:
```
TaCoNiPd
1.0
4.242 0.000 0.000
2.121 3.674 0.000
2.121 1.225 3.464
Ni Co Pd Ta
1 1 1 1
Cartesian
2.121 1.225 0.866
6.363 3.674 2.598
4.242 2.449 1.732
0.000 0.000 0.000
```

Output
**Crystal system**: cubic
**Energy relative to the elements**: -0.17 eV/atom
**Symmetry**: F-43m

Material: CoTcNiPd
Method: DFT, GGA-PBE
State: optimized geometry

POSCAR file:
```
CoTcNiPd
1.0
4.185 0.000 0.000
2.092 3.624 0.000
2.092 1.208 3.417
Ni Co Tc Pd
1 1 1 1
Cartesian
4.185 2.416 1.709
0.000 0.000 0.000
6.277 3.624 2.563
2.092 1.208 0.854
```

Output
**Crystal system**: cubic
**Energy relative to the elements**: 0.20 eV/atom
**Symmetry**: F-43m

Material: Co2NiTe6Pd
Method: DFT, GGA-PBE
State: optimized geometry

POSCAR file:
```
Co2NiTe6Pd
1.0
-2.910 -5.817 -2.148
1.062 -2.201 -6.400
3.681 -5.436 -1.188
Co Ni Te Pd
2 1 6 1
Cartesian
0.836 -6.675 -4.898
3.617 -5.395 -1.212
-0.497 -2.749 -2.804
-0.567 -5.324 -3.192
1.114 -4.799 -6.661
-1.130 -7.916 -6.038
2.408 -8.051 -6.484
0.746 -8.643 -3.168
2.894 -5.606 -3.676
0.426 -9.480 -7.669
```

Output
**Raw formation energy**: -0.174 eV/atom
**Crystal system**: trigonal
**Symmetry**: R3

Material: Ti5Co2NiPd2
Method: DFT, GGA-PBE
State: optimized geometry

POSCAR file:
```
Ti5Co2NiPd2
1.0
2.944 0.000 0.000
0.000 10.074 0.000
0.000 0.000 10.074
Ti Co Ni Pd
10 4 2 4
Cartesian
1.472 1.918 0.866
1.472 8.156 9.208
1.472 0.866 8.156
1.472 6.955 4.171
1.472 9.208 1.918
1.472 3.119 5.903
1.472 5.903 6.955
1.472 4.171 3.119
1.472 5.037 0.000
1.472 0.000 5.037
0.000 1.342 6.379
0.000 8.732 3.695
0.000 6.379 8.732
0.000 3.695 1.342
0.000 0.000 0.000
0.000 5.037 5.037
0.000 6.715 1.678
0.000 3.359 8.396
0.000 1.678 3.359
0.000 8.396 6.715
```

Output
**Crystal system**: tetragonal
**Energy relative to the elements**: -0.30 eV/atom
**Symmetry**: P4/mbm

no.,final energy (eV/atom),D(E_F) (states/eV/atom),total magnetic moment (μB per formula unit)
1,-5.617,1.232,1.1
2,-6.705,0.711,0.0
3,-5.606,1.175,2.7
4,-4.048,0.872,0.5
5,-4.530,0.638,0.0
6,-4.714,0.640,0.0
7,-4.836,0.746,0.0
8,-4.452,2.009,3.9
9,-7.651,0.465,0.0
10,-6.916,0.911,1.8
11,-4.577,0.789,0.0
12,-7.284,1.019,0.0